Record 1
Computed, not measured: a relaxed structure of YIn2Pb2 at the PBEsol level of DFT.

a b c (Å): 4.1900 4.1900 8.6361
angles (deg): 104.04 104.04 90.00
Closest atoms and distances in Å follow each position.
Sites, in units of the cell vectors:
Pb 0.5946 0.5946 0.1892  1 Pb 3.07, 4 In 3.28, 4 Y 3.34
Pb 0.4054 0.4054 0.8108  1 Pb 3.07, 4 In 3.28, 4 Y 3.34
In 0.2500 0.7500 0.5000  4 In 2.96, 4 Pb 3.28
In 0.7500 0.2500 0.5000  4 In 2.96, 4 Pb 3.28
Y 0.0000 0.0000 0.0000  8 Pb 3.34

Summary:
formation enthalpy at 0 K	-66	meV per atom
spin magnetization	0.00	μB/f.u.
N(E_F)	3.09	states/eV/cell


Record 2
Computed, not measured: a relaxed structure of K4TlNi at the PBEsol level of DFT.

a b c (Å): 6.8708 6.8708 6.8708
angles (deg): 60.00 60.00 60.00
Closest atoms and distances in Å follow each position.
Sites, in units of the cell vectors:
K 0.3759 0.3759 0.3759  6 K 3.41-3.46
K 0.3759 0.3759 0.8723  6 K 3.41-3.46
K 0.3759 0.8723 0.3759  6 K 3.41-3.46
K 0.8723 0.3759 0.3759  6 K 3.41-3.46
Ni 0.7500 0.7500 0.7500  12 K 4.03, 4 Tl 4.21
Tl 0.0000 0.0000 0.0000  12 K 4.03, 4 Ni 4.21

Summary:
formation enthalpy at 0 K	755	meV per atom
spin magnetization	0.12	μB/f.u.
N(E_F)	9.78	states/eV/cell